Record 1
Below is an optimized crystal structure of NaNpSc, with properties calculated at the PBE level.

Cell lengths 7.2753, 7.2753, 7.2753 Å; angles 90.00, 90.00, 90.00 degrees
With the nearest neighbours (Å) after each atom.
Positions (direct):
1 Na 0.0000 0.0000 0.0000  4 Sc 3.15
2 Na 0.0000 0.5000 0.5000  4 Sc 3.15
3 Na 0.5000 0.0000 0.5000  4 Sc 3.15
4 Na 0.5000 0.5000 0.0000  4 Sc 3.15
5 Np 0.0000 0.0000 0.5000  4 Sc 3.15
6 Np 0.0000 0.5000 0.0000  4 Sc 3.15
7 Np 0.5000 0.0000 0.0000  4 Sc 3.15
8 Np 0.5000 0.5000 0.5000  4 Sc 3.15
9 Sc 0.2500 0.2500 0.2500  4 Na 3.15, 4 Np 3.15
10 Sc 0.2500 0.7500 0.7500  4 Np 3.15, 4 Na 3.15
11 Sc 0.7500 0.2500 0.7500  4 Np 3.15, 4 Na 3.15
12 Sc 0.7500 0.7500 0.2500  4 Np 3.15, 4 Na 3.15



Record 2
Below is an optimized crystal structure of Ho3Zn3NiIr2, with properties calculated at the PBE level.

Cell lengths 7.0760, 7.0760, 3.8477 Å; angles 90.00, 90.00, 120.00 degrees
With the nearest neighbours (Å) after each atom.
Positions (direct):
1 Ho 0.0000 0.5948 0.0000  1 Ni 2.87, 4 Ir 2.89, 6 Zn 3.15-3.16
2 Ho 0.4052 0.4052 0.0000  1 Ni 2.87, 4 Ir 2.89, 6 Zn 3.15-3.16
3 Ho 0.5948 0.0000 0.0000  1 Ni 2.87, 4 Ir 2.89, 6 Zn 3.15-3.16
4 Zn 0.0000 0.2410 0.5000  2 Ni 2.57, 2 Ir 2.74
5 Zn 0.2410 0.0000 0.5000  2 Ni 2.57, 2 Ir 2.74
6 Zn 0.7590 0.7590 0.5000  2 Ni 2.57, 2 Ir 2.74
7 Ni 0.0000 0.0000 0.0000  6 Zn 2.57, 3 Ho 2.87
8 Ir 0.3333 0.6667 0.5000  3 Zn 2.74, 6 Ho 2.89
9 Ir 0.6667 0.3333 0.5000  3 Zn 2.74, 6 Ho 2.89



Record 3
Below is an optimized crystal structure of Er3ScTe2C2, with properties calculated at the PBE level.

Cell lengths 3.7453, 3.7453, 13.7319 Å; angles 90.00, 90.00, 120.00 degrees
With the nearest neighbours (Å) after each atom.
Positions (direct):
1 Er 0.0000 0.0000 0.0000  3 C 2.51
2 Er 0.0000 0.0000 0.3223  3 C 2.52
3 Er 0.3333 0.6667 0.5113  3 C 2.52
4 Sc 0.3333 0.6667 0.8211  3 C 2.47
5 Te 0.0000 0.0000 0.6734  3 Sc 2.96, 3 Er 3.10
6 Te 0.3333 0.6667 0.1611  6 Er 3.09
7 C 0.6667 0.3333 0.4170  6 Er 2.52
8 C 0.6667 0.3333 0.9077  3 Sc 2.47, 3 Er 2.51



Record 4
Below is an optimized crystal structure of PrMg3, with properties calculated at the PBE level.

Cell lengths 7.4423, 7.4423, 7.4423 Å; angles 90.00, 90.00, 90.00 degrees
With the nearest neighbours (Å) after each atom.
Positions (direct):
1 Pr 0.0000 0.0000 0.0000  8 Mg 3.22
2 Pr 0.0000 0.5000 0.5000  8 Mg 3.22
3 Pr 0.5000 0.0000 0.5000  8 Mg 3.22
4 Pr 0.5000 0.5000 0.0000  8 Mg 3.22
5 Mg 0.0000 0.0000 0.5000  8 Mg 3.22
6 Mg 0.0000 0.5000 0.0000  8 Mg 3.22
7 Mg 0.2500 0.2500 0.2500  4 Pr 3.22, 4 Mg 3.22
8 Mg 0.2500 0.2500 0.7500  4 Pr 3.22, 4 Mg 3.22
9 Mg 0.2500 0.7500 0.2500  4 Pr 3.22, 4 Mg 3.22
10 Mg 0.2500 0.7500 0.7500  4 Pr 3.22, 4 Mg 3.22
11 Mg 0.5000 0.0000 0.0000  8 Mg 3.22
12 Mg 0.5000 0.5000 0.5000  8 Mg 3.22
13 Mg 0.7500 0.2500 0.2500  4 Pr 3.22, 4 Mg 3.22
14 Mg 0.7500 0.2500 0.7500  4 Pr 3.22, 4 Mg 3.22
15 Mg 0.7500 0.7500 0.2500  4 Pr 3.22, 4 Mg 3.22
16 Mg 0.7500 0.7500 0.7500  4 Mg 3.22, 4 Pr 3.22



Record 5
Below is an optimized crystal structure of YPbAuSe3, with properties calculated at the PBE level.

Cell lengths 10.7382, 4.1020, 13.7651 Å; angles 90.00, 90.00, 90.00 degrees
With the nearest neighbours (Å) after each atom.
Positions (direct):
1 Y 0.0181 0.2500 0.2441  6 Se 2.91-2.99
2 Y 0.4819 0.7500 0.7441  6 Se 2.91-2.99
3 Y 0.5181 0.2500 0.2559  6 Se 2.91-2.99
4 Y 0.9819 0.7500 0.7559  6 Se 2.91-2.99
5 Pb 0.2262 0.7500 0.5149  7 Se 3.18-3.28, 2 Au 3.43
6 Pb 0.2738 0.2500 0.0149  7 Se 3.18-3.28, 2 Au 3.43
7 Pb 0.7262 0.7500 0.9851  7 Se 3.18-3.28, 2 Au 3.43
8 Pb 0.7738 0.2500 0.4851  7 Se 3.18-3.28, 2 Au 3.43
9 Au 0.2422 0.2500 0.7144  4 Se 2.58-2.70
10 Au 0.2578 0.7500 0.2144  4 Se 2.58-2.70
11 Au 0.7422 0.2500 0.7856  4 Se 2.58-2.70
12 Au 0.7578 0.7500 0.2856  4 Se 2.58-2.70
13 Se 0.0339 0.2500 0.6107  1 Au 2.65, 2 Y 2.92
14 Se 0.0681 0.7500 0.0997  1 Au 2.58
15 Se 0.2330 0.7500 0.8414  2 Au 2.70, 2 Y 2.94-2.99
16 Se 0.2670 0.2500 0.3414  2 Au 2.70, 2 Y 2.94-2.99
17 Se 0.4319 0.2500 0.5997  1 Au 2.58
18 Se 0.4661 0.7500 0.1107  1 Au 2.65, 2 Y 2.92
19 Se 0.5339 0.2500 0.8893  1 Au 2.65, 2 Y 2.92
20 Se 0.5681 0.7500 0.4003  1 Au 2.58
21 Se 0.7330 0.7500 0.6586  2 Au 2.70, 2 Y 2.94-2.99
22 Se 0.7670 0.2500 0.1586  2 Au 2.70, 2 Y 2.94-2.99
23 Se 0.9319 0.2500 0.9003  1 Au 2.58
24 Se 0.9661 0.7500 0.3893  1 Au 2.65, 2 Y 2.92



Record 6
Below is an optimized crystal structure of HgH16C8S2N6, with properties calculated at the PBE level.

Cell lengths 10.0571, 10.0571, 15.0426 Å; angles 123.94, 123.94, 38.89 degrees
With the nearest neighbours (Å) after each atom.
Positions (direct):
1 Hg 0.0163 0.9837 0.7500  2 S 2.37
2 Hg 0.9837 0.0163 0.2500  2 S 2.37
3 H 0.0725 0.7225 0.8556  1 C 1.10
4 H 0.0800 0.5794 0.3322  1 N 1.04
5 H 0.0893 0.5569 0.0450  1 C 1.10
6 H 0.1102 0.2917 0.1650  1 C 1.10
7 H 0.1747 0.4775 0.8545  1 C 1.09
8 H 0.2167 0.6552 0.5799  1 S 1.35
9 H 0.2775 0.9275 0.6444  1 C 1.10
10 H 0.2917 0.1102 0.6650  1 C 1.10
11 H 0.3276 0.4545 0.0368  1 C 1.10
12 H 0.3448 0.7833 0.9201  1 S 1.35
13 H 0.3478 0.3618 0.1202  1 C 1.10
14 H 0.3618 0.3478 0.6202  1 C 1.10
15 H 0.4206 0.9200 0.1678  1 N 1.04
16 H 0.4431 0.9107 0.4550  1 C 1.10
17 H 0.4545 0.3276 0.5368  1 C 1.10
18 H 0.4775 0.1747 0.3545  1 C 1.09
19 H 0.5225 0.8253 0.6455  1 C 1.09
20 H 0.5455 0.6724 0.4632  1 C 1.10
21 H 0.5569 0.0893 0.5450  1 C 1.10
22 H 0.5794 0.0800 0.8322  1 N 1.04
23 H 0.6382 0.6522 0.3798  1 C 1.10
24 H 0.6522 0.6382 0.8798  1 C 1.10
25 H 0.6552 0.2167 0.0799  1 S 1.35
26 H 0.6724 0.5455 0.9632  1 C 1.10
27 H 0.7083 0.8898 0.3350  1 C 1.10
28 H 0.7225 0.0725 0.3556  1 C 1.10
29 H 0.7833 0.3448 0.4201  1 S 1.35
30 H 0.8253 0.5225 0.1455  1 C 1.09
31 H 0.8898 0.7083 0.8350  1 C 1.10
32 H 0.9107 0.4431 0.9550  1 C 1.10
33 H 0.9200 0.4206 0.6678  1 N 1.04
34 H 0.9275 0.2775 0.1444  1 C 1.10
35 C 0.0395 0.6174 0.8171  3 H 1.09-1.10
36 C 0.1167 0.3626 0.3743  2 N 1.21-1.24
37 C 0.2138 0.6401 0.2975  1 N 1.17
38 C 0.2611 0.4108 0.0425  3 H 1.10
39 C 0.3599 0.7862 0.2025  1 N 1.17
40 C 0.3626 0.1167 0.8743  2 N 1.21-1.24
41 C 0.3826 0.9605 0.6829  3 H 1.09-1.10
42 C 0.4108 0.2611 0.5425  3 H 1.10
43 C 0.5892 0.7389 0.4575  3 H 1.10
44 C 0.6174 0.0395 0.3171  3 H 1.09-1.10
45 C 0.6374 0.8833 0.1257  2 N 1.21-1.24
46 C 0.6401 0.2138 0.7975  1 N 1.17
47 C 0.7389 0.5892 0.9575  3 H 1.10
48 C 0.7862 0.3599 0.7025  1 N 1.17
49 C 0.8833 0.6374 0.6257  2 N 1.21-1.24
50 C 0.9605 0.3826 0.1829  3 H 1.09-1.10
51 S 0.0233 0.8550 0.5628  1 H 1.35
52 S 0.1450 0.9767 0.9372  1 H 1.35
53 S 0.8550 0.0233 0.0628  1 H 1.35
54 S 0.9767 0.1450 0.4372  1 H 1.35
55 N 0.0272 0.5343 0.6988  1 C 1.24
56 N 0.1499 0.6052 0.3200  1 H 1.04
57 N 0.2349 0.2812 0.4526  1 C 1.21
58 N 0.2812 0.2349 0.9526  1 C 1.21
59 N 0.3948 0.8501 0.1800  1 H 1.04
60 N 0.4657 0.9728 0.8012  1 C 1.24
61 N 0.5343 0.0272 0.1988  1 C 1.24
62 N 0.6052 0.1499 0.8200  1 H 1.04
63 N 0.7188 0.7651 0.0474  1 C 1.21
64 N 0.7651 0.7188 0.5474  1 C 1.21
65 N 0.8501 0.3948 0.6800  1 H 1.04
66 N 0.9728 0.4657 0.3012  1 C 1.24



no.,uncorrected energy (eV/atom)
1,-5.4287
2,-5.1795
3,-6.4621
4,-2.4802
5,-4.9168
6,-5.5469